Entry 1:
YCSe3: optimized geometry, GGA-PBEsol.

Geometry as POSCAR:
```
YCSe3
1.0
4.462 0.000 0.000
0.000 4.462 0.000
0.000 0.000 4.462
Y C Se
1 1 3
direct
0.500 0.500 0.500
0.000 0.000 0.000
0.000 0.500 0.000
0.000 0.000 0.500
0.500 0.000 0.000
```

=====

Entry 2:
YCSe3: optimized geometry, GGA-PBEsol.

Geometry as POSCAR:
```
YCSe3
1.0
-2.732 -4.628 0.415
4.573 -2.592 1.196
-0.827 0.958 5.240
Se C Y
3 1 1
direct
0.500 0.000 0.000
0.000 0.500 0.000
0.000 0.000 0.500
0.500 0.500 0.500
0.000 0.000 0.000
```

=====

Entry 3:
ZnC3Se: optimized geometry, GGA-PBEsol.

Geometry as POSCAR:
```
ZnC3Se
1.0
-3.373 -1.283 1.401
-0.360 -2.371 -3.038
1.865 -2.778 1.946
Se Zn C
1 1 3
direct
0.000 0.000 0.000
0.500 0.500 0.500
0.500 0.000 0.000
0.000 0.000 0.500
0.000 0.500 0.000
```

=====

| no. | uncorrected formation energy (kcal/mol of atoms) |
| --- | --- |
| 1 | -0.3 |
| 2 | 28.2 |
| 3 | 65.3 |